A plane-wave DFT calculation with PBE-GGA was carried out for Co2RhI after structural relaxation.

abc: 5.901 5.901 6.519
angles: 63.09 63.09 90.00
Last column: magnetic moment on the atom in μB.
Positions (direct):
I: 0.000 0.000 0.000  0.06
I: 0.750 0.250 0.500  0.06
Co: 0.597 0.125 0.250  1.59
Co: 0.153 0.625 0.250  1.62
Co: 0.375 0.403 0.750  1.72
Co: 0.875 0.847 0.750  1.68
Rh: 0.500 0.500 0.000  0.85
Rh: 0.250 0.750 0.500  0.85

Properties
- symmetry = No. 122
- polymorph energy (0 for the lowest one) (meV/atom) = 181
- energy relative to the elements, uncorrected (meV per atom) = 932